## LaSm12Dy6 (PBE-GGA)

Data for a relaxed LaSm12Dy6 crystal.

extended XYZ file:
```
19
Lattice="6.7066 3.8721 4.2129 -6.7066 3.8721 4.2129 0.0000 -7.7441 4.2129" Properties=species:S:1:pos:R:3 pbc="T T T"
La 0.0000 0.0000 0.0000
Sm -1.8326 -1.0580 3.3340
Sm -1.7386 -3.0113 6.3193
Sm -3.4771 0.0000 6.3193
Sm 1.8326 -1.0580 3.3340
Sm 0.0000 2.1161 3.3340
Sm 1.7386 -3.0113 6.3193
Sm -1.7386 3.0113 6.3193
Sm 0.0000 -2.1161 9.3046
Sm -1.8326 1.0580 9.3046
Sm 3.4771 0.0000 6.3193
Sm 1.7386 3.0113 6.3193
Sm 1.8326 1.0580 9.3046
Dy 0.0000 -4.3284 3.6253
Dy -3.7485 2.1642 3.6253
Dy -3.7485 -2.1642 9.0133
Dy 3.7485 2.1642 3.6253
Dy 3.7485 -2.1642 9.0133
Dy 0.0000 4.3284 9.0133
```

Results
- Volume: 34.55 Å³/atom
- Energy of formation from the pure elements: 0.196 eV/atom
- Symmetry: R-3m (166)
- Crystal system: trigonal
- E_tot: -4.497 eV per atom